CdSiSe2: relaxed, PBE-GGA.

Cell lengths 5.820, 5.820, 13.646 Å; angles 90.00, 90.00, 90.00 degrees
Sites, in units of the cell vectors:
Cd (0.000, 0.000, 0.000)
Cd (0.000, 0.500, 0.250)
Cd (0.500, 0.000, 0.750)
Cd (0.500, 0.500, 0.500)
Si (0.000, 0.000, 0.500)
Si (0.000, 0.500, 0.750)
Si (0.500, 0.000, 0.250)
Si (0.500, 0.500, 0.000)
Se (0.232, 0.250, 0.625)
Se (0.250, 0.732, 0.875)
Se (0.250, 0.768, 0.375)
Se (0.268, 0.250, 0.125)
Se (0.732, 0.750, 0.125)
Se (0.750, 0.232, 0.375)
Se (0.750, 0.268, 0.875)
Se (0.768, 0.750, 0.625)

Its density of states at the Fermi level is 0.31 states/eV/f.u. The value obtained for the total energy is -54.65 eV/cell. Its crystal system is tetragonal. The value obtained for the formation energy (no corrections) is -0.0890 eV per atom. Its space group is I-42d, No. 122.